Rb2BeVI6 | PBE-GGA | optimized geometry

a = 8.6875 Å, b = 8.6875 Å, c = 10.5555 Å
α = 90.00°, β = 90.00°, γ = 90.00°
Closest atoms and distances in Å follow each position.
Space group I4/mmm (No. 139)
Symmetry-distinct sites (fractional):
1 Rb 0.0000 0.5000 0.2500 (multiplicity 4)  12 I 4.06-4.36
2 Be 0.0000 0.0000 0.0000 (multiplicity 2)  2 I 2.25
3 V 0.0000 0.0000 0.5000 (multiplicity 2)  6 I 2.81-3.02
4 I 0.0000 0.0000 0.2134 (multiplicity 4)  1 Be 2.25
5 I 0.2290 0.2290 0.5000 (multiplicity 8)  1 V 2.81

Calculated values
calculated volume: 398.33 Å³/f.u.
magnetization: 3.000 μB per formula unit
DFT total energy: -62.087 eV/cell

---

Rb2BeWI6 | PBE-GGA | optimized geometry

a = 8.7957 Å, b = 8.7957 Å, c = 11.1767 Å
α = 90.00°, β = 90.00°, γ = 90.00°
Closest atoms and distances in Å follow each position.
Space group I4/mmm (No. 139)
Symmetry-distinct sites (fractional):
1 Rb 0.0000 0.5000 0.2500 (multiplicity 4)  12 I 4.19-4.43
2 Be 0.0000 0.0000 0.0000 (multiplicity 2)  2 I 2.24
3 W 0.0000 0.0000 0.5000 (multiplicity 2)  4 I 2.79
4 I 0.0000 0.0000 0.2007 (multiplicity 4)  1 Be 2.24
5 I 0.2240 0.2240 0.5000 (multiplicity 8)  1 W 2.79

Calculated values
calculated volume: 432.34 Å³/f.u.
magnetization: 4.000 μB per formula unit
DFT total energy: -63.996 eV/cell

---

RbYBeI2 | PBE-GGA | optimized geometry

a = 5.5589 Å, b = 5.5589 Å, c = 5.7766 Å
α = 90.00°, β = 90.00°, γ = 90.00°
Closest atoms and distances in Å follow each position.
Space group P4/mmm (No. 123)
Symmetry-distinct sites (fractional):
1 Rb 0.0000 0.0000 0.0000 (multiplicity 1)  2 Be 2.89
2 Y 0.5000 0.5000 0.0000 (multiplicity 1)  4 Rb 3.93, 8 I 4.01
3 Be 0.0000 0.0000 0.5000 (multiplicity 1)  4 I 2.78, 2 Rb 2.89
4 I 0.0000 0.5000 0.5000 (multiplicity 2)  2 Be 2.78

Calculated values
calculated volume: 178.50 Å³/f.u.
magnetization: 1.056 μB per formula unit
DFT total energy: -11.820 eV/cell

---

RbBeZn2I | PBE-GGA | optimized geometry

a = 6.7911 Å, b = 6.7911 Å, c = 4.9415 Å
α = 90.00°, β = 90.00°, γ = 90.00°
Closest atoms and distances in Å follow each position.
Space group P4/mmm (No. 123)
Symmetry-distinct sites (fractional):
1 Rb 0.0000 0.0000 0.0000 (multiplicity 1)  8 Zn 4.20
2 Be 0.5000 0.5000 0.0000 (multiplicity 1)  2 I 2.47
3 Zn 0.0000 0.5000 0.5000 (multiplicity 2)  2 I 3.40
4 I 0.5000 0.5000 0.5000 (multiplicity 1)  2 Be 2.47

Calculated values
calculated volume: 227.90 Å³/f.u.
magnetization: 0.296 μB per formula unit
DFT total energy: -5.363 eV/cell

---

Rb2ZrBeI6 | PBE-GGA | optimized geometry

a = 8.1696 Å, b = 8.1696 Å, c = 11.6904 Å
α = 90.00°, β = 90.00°, γ = 90.00°
Closest atoms and distances in Å follow each position.
Space group I4/mmm (No. 139)
Symmetry-distinct sites (fractional):
1 Rb 0.0000 0.5000 0.2500 (multiplicity 4)  12 I 4.08-4.11
2 Zr 0.0000 0.0000 0.0000 (multiplicity 2)  6 I 2.96
3 Be 0.0000 0.0000 0.5000 (multiplicity 2)  6 I 2.81-2.89
4 I 0.0000 0.0000 0.2531 (multiplicity 4)  1 Be 2.89, 1 Zr 2.96
5 I 0.2434 0.2434 0.5000 (multiplicity 8)  1 Be 2.81, 1 Zr 2.96

Calculated values
calculated volume: 390.12 Å³/f.u.
magnetization: 1.997 μB per formula unit
DFT total energy: -61.779 eV/cell

---

BeReI2 | PBE-GGA | optimized geometry

a = 5.8560 Å, b = 5.8560 Å, c = 11.4129 Å
α = 90.00°, β = 90.00°, γ = 90.00°
Closest atoms and distances in Å follow each position.
Space group I-42d (No. 122)
Symmetry-distinct sites (fractional):
1 Be 0.0000 0.0000 0.0000 (multiplicity 4)  4 I 2.44
2 Re 0.0000 0.0000 0.5000 (multiplicity 4)  4 I 2.60
3 I 0.2264 0.2500 0.1250 (multiplicity 8)  2 Be 2.44, 2 Re 2.60

Calculated values
calculated volume: 97.84 Å³/f.u.
magnetization: 0.000 μB per formula unit
DFT total energy: -57.891 eV/cell
energy relative to the lowest polymorph listed for this composition: 0.00 eV/f.u.

---

BeReI3 | PBE-GGA | optimized geometry

a = 4.9824 Å, b = 4.9824 Å, c = 4.9824 Å
α = 90.00°, β = 90.00°, γ = 90.00°
Closest atoms and distances in Å follow each position.
Space group Pm-3m (No. 221)
Symmetry-distinct sites (fractional):
1 Be 0.0000 0.0000 0.0000 (multiplicity 1)  6 I 2.49
2 Re 0.5000 0.5000 0.5000 (multiplicity 1)  12 I 3.52
3 I 0.0000 0.0000 0.5000 (multiplicity 3)  2 Be 2.49

Calculated values
calculated volume: 123.69 Å³/f.u.
magnetization: 0.000 μB per formula unit
DFT total energy: -13.131 eV/cell
energy relative to the lowest polymorph listed for this composition: 2.03 eV/f.u.

---

BeRe3I | PBE-GGA | optimized geometry

a = 4.7975 Å, b = 4.7975 Å, c = 4.7975 Å
α = 90.00°, β = 90.00°, γ = 90.00°
Closest atoms and distances in Å follow each position.
Space group Pm-3m (No. 221)
Symmetry-distinct sites (fractional):
1 Be 0.0000 0.0000 0.0000 (multiplicity 1)  12 Re 3.39
2 Re 0.0000 0.5000 0.5000 (multiplicity 3)  2 I 2.40
3 I 0.5000 0.5000 0.5000 (multiplicity 1)  6 Re 2.40

Calculated values
calculated volume: 110.42 Å³/f.u.
magnetization: 1.994 μB per formula unit
DFT total energy: -26.785 eV/cell
energy relative to the lowest polymorph listed for this composition: 8.23 eV/f.u.

---

These records have formation energy (no corrections) values of -696, -408, 488, 686, -738, 1200, 1539, 3167 meV per atom, in the order they appear.